Crystalline Cs2TmAlTe4 at its relaxed geometry, computed with PBE-GGA.

The structure in POSCAR format:
```
Cs2TmAlTe4
1.0
0.0000 7.9486 14.0692
3.3770 0.0000 14.0692
3.3770 7.9486 0.0000
Cs Tm Al Te
4 2 2 8
Cartesian
2.5327 5.9615 1.5800
4.2212 9.9358 8.6146
2.5327 5.9615 19.5238
4.2212 9.9358 26.5584
0.8442 1.9872 3.5173
5.9097 13.9101 24.6211
2.5327 5.9615 10.5519
4.2212 9.9358 17.5865
2.7082 3.5730 5.0437
4.0458 7.5473 12.0783
2.3573 8.3500 5.0437
2.3573 3.5730 16.0601
4.3967 12.3243 12.0783
4.3967 7.5473 23.0947
2.7082 8.3500 16.0601
4.0458 12.3243 23.0947
```

Calculated values
theoretical density: 4.274 g/cm3
uncorrected formation energy: -1.0316 eV per atom
SG: Fddd (70)
DOS(E_F): 0.0000 states/eV/atom
final energy: -61.5 eV/cell

Crystalline Sb2IrPb at its relaxed geometry, computed with PBE-GGA.

The structure in POSCAR format:
```
Sb2IrPb
1.0
3.2919 0.0000 0.0000
0.0000 3.2784 0.0000
-0.7502 0.0000 9.1682
Sb Ir Pb
2 1 1
Cartesian
-0.0021 0.0000 1.6617
2.5437 0.0000 7.5065
1.6459 1.6392 0.0000
1.2708 1.6392 4.5841
```

Calculated values
theoretical density: 10.790 g/cm3
uncorrected formation energy: 0.0563 eV per atom
SG: P2/m (10)
DOS(E_F): 0.7790 states/eV/atom
final energy: -20.6 eV/cell

Crystalline Tc2MoOs at its relaxed geometry, computed with PBE-GGA.

The structure in POSCAR format:
```
Tc2MoOs
1.0
4.5750 -1.3809 0.0000
4.5750 1.3809 0.0000
-0.8387 0.0000 4.7147
Tc Mo Os
2 1 1
Cartesian
0.0000 0.0000 0.0000
6.6374 0.0000 1.1617
4.1975 0.0000 2.4028
1.6946 0.0000 3.6302
```

Calculated values
calculated formation energy: 0.33 eV per formula unit
theoretical density: 13.440 g/cm3
SG: Cm (8)
DOS(E_F): 0.7707 states/eV/atom
energy above the lowest structure with this stoichiometry: 7 kJ/mol of formula units
final energy: -42.5 eV/cell

Crystalline Ac4Al5Ge2 at its relaxed geometry, computed with PBE-GGA.

The structure in POSCAR format:
```
Ac4Al5Ge2
1.0
7.3439 0.0000 0.0000
0.0000 4.9218 0.0000
-0.6574 0.0000 8.4196
Ac Al Ge
4 5 2
Cartesian
1.4944 0.0000 1.2137
1.4688 0.0000 5.2695
5.2177 0.0000 3.1501
5.1921 0.0000 7.2060
0.3551 2.4609 7.5071
2.8871 2.4609 2.9667
3.6719 2.4609 0.0000
3.7994 2.4609 5.4529
6.3314 2.4609 0.9126
0.3006 2.4609 3.1253
6.3859 2.4609 5.2943
```

Calculated values
calculated formation energy: -4.54 eV per formula unit
theoretical density: 6.483 g/cm3
SG: P2/m (10)
DOS(E_F): 0.6527 states/eV/atom
final energy: -48.9 eV/cell

Crystalline HoZn6Pd4 at its relaxed geometry, computed with PBE-GGA.

The structure in POSCAR format:
```
HoZn6Pd4
1.0
-3.3111 3.3111 4.7076
3.3111 -3.3111 4.7076
3.3111 3.3111 -4.7076
Ho Zn Pd
1 6 4
Cartesian
0.0000 0.0000 0.0000
3.3111 0.0000 0.0000
2.1782 2.1782 -1.9000
1.1329 1.1329 2.8076
0.0000 3.3111 0.0000
1.1329 -1.1329 6.6076
-1.1329 1.1329 6.6076
1.2285 -1.2285 3.9921
2.0826 2.0826 0.7155
-1.2285 1.2285 3.9921
1.2285 1.2285 5.4231
```

Calculated values
calculated formation energy: -3.96 eV per formula unit
theoretical density: 7.907 g/cm3
SG: I-42m (121)
DOS(E_F): 0.3612 states/eV/atom
final energy: -36.9 eV/cell

Crystalline P4RuSe at its relaxed geometry, computed with PBE-GGA.

The structure in POSCAR format:
```
P4RuSe
1.0
0.0000 3.5923 3.5923
3.5923 0.0000 3.5923
3.5923 3.5923 0.0000
P Ru Se
4 1 1
Cartesian
0.8575 0.8575 0.8575
2.7348 2.7348 0.8575
2.7348 0.8575 2.7348
0.8575 2.7348 2.7348
3.5923 3.5923 3.5923
5.3884 5.3884 5.3884
```

Calculated values
theoretical density: 5.444 g/cm3
uncorrected formation energy: 0.9278 eV per atom
SG: F-43m (216)
DOS(E_F): 0.4655 states/eV/atom
final energy: -28.8 eV/cell

Crystalline Ag2AuBr at its relaxed geometry, computed with PBE-GGA.

The structure in POSCAR format:
```
Ag2AuBr
1.0
-3.6342 3.6342 3.8079
3.6342 -3.6342 3.8079
3.6342 3.6342 -3.8079
Ag Au Br
4 2 2
Cartesian
5.4513 1.8125 -0.9520
1.8125 1.8171 0.9520
-1.8171 1.8217 2.8559
1.8217 1.8171 4.7599
0.0000 0.0000 0.0000
0.0000 3.6342 1.9040
3.6342 0.0000 1.9040
0.0000 0.0000 3.8079
```

Calculated values
theoretical density: 8.132 g/cm3
uncorrected formation energy: 0.1797 eV per atom
SG: I-42d (122)
DOS(E_F): 0.0368 states/eV/atom
energy above the lowest structure with this stoichiometry: 85 kJ/mol of formula units
final energy: -19.9 eV/cell

> Look up the final energy of the fourth one.

-48.9 eV/cell